Record 1
# MgSeI

MgSeI after structural relaxation (PBE, Alexandria).

- excess energy over the best structure of this formula in the dataset (kJ/mol of atoms) = 11.41
- formation energy from raw total energies (eV/f.u.) = -2.217
- electronic total energy (eV per formula unit) = -8.85

```
data_MgSeI
_cell_length_a 6.360
_cell_length_b 9.739
_cell_length_c 7.034
_cell_angle_alpha 90.00
_cell_angle_beta 90.00
_cell_angle_gamma 95.35
_space_group_name_H-M_alt 'P 1'
_space_group_IT_number 1
loop_
_space_group_symop_operation_xyz
'x,y,z'
loop_
_atom_site_label
_atom_site_fract_x
_atom_site_fract_y
_atom_site_fract_z
_atom_site_occupancy
I1 0.298 0.841 0.754 1
I2 0.702 0.159 0.246 1
I3 0.202 0.159 0.254 1
I4 0.798 0.841 0.746 1
Mg1 0.761 0.583 0.557 1
Mg2 0.739 0.417 0.057 1
Mg3 0.261 0.583 0.943 1
Mg4 0.239 0.417 0.443 1
Se1 0.987 0.413 0.750 1
Se2 0.013 0.587 0.250 1
Se3 0.513 0.587 0.250 1
Se4 0.487 0.413 0.750 1
```

=====

Record 2
# Sm2Ga2Cu3

Sm2Ga2Cu3 after structural relaxation (PBE, Alexandria).

- excess energy over the best structure of this formula in the dataset (kJ/mol of atoms) = 0.00
- electronic total energy (eV per formula unit) = -30.49
- energy of formation from the pure elements (kJ/mol of formula units) = -262

```
data_Sm2Ga2Cu3
_cell_length_a 4.205
_cell_length_b 5.621
_cell_length_c 6.566
_cell_angle_alpha 111.49
_cell_angle_beta 90.00
_cell_angle_gamma 111.97
_space_group_name_H-M_alt 'P 1'
_space_group_IT_number 1
loop_
_space_group_symop_operation_xyz
'x,y,z'
loop_
_atom_site_label
_atom_site_fract_x
_atom_site_fract_y
_atom_site_fract_z
_atom_site_occupancy
Sm1 0.857 0.714 0.239 1
Sm2 0.143 0.286 0.761 1
Ga1 0.147 0.295 0.240 1
Ga2 0.853 0.705 0.760 1
Cu1 0.599 0.197 0.419 1
Cu2 0.401 0.803 0.581 1
Cu3 0.500 0.000 0.000 1
```